# 1
! ZrIn2O PBE-GGA optimized geometry; values from VASP
! Formation energy (no corrections): -0.33 eV/atom
! Space-group type: I-42d (122)
! DFT total energy: -5.078 eV/atom
&SYSTEM
  ibrav = 0, nat = 8, ntyp = 3
/
ATOMIC_SPECIES
Zr 91.22 Zr.upf
In 114.82 In.upf
O 16.00 O.upf
CELL_PARAMETERS angstrom
-3.6976 3.6976 2.8295
3.6976 -3.6976 2.8295
3.6976 3.6976 -2.8295
ATOMIC_POSITIONS angstrom
Zr 0.0000 0.0000 0.0000
Zr 0.0000 3.6976 1.4147
In 1.8488 -1.3179 2.1221
In 2.3796 1.8488 0.7074
In 1.8488 5.0155 -0.7074
In 1.3179 1.8488 3.5368
O 3.6976 0.0000 1.4147
O 0.0000 0.0000 2.8295


# 2
! KCr2In PBE-GGA optimized geometry; values from VASP
! Space-group type: Pmmm (47)
! DFT total energy: -4.962 eV/atom
&SYSTEM
  ibrav = 0, nat = 4, ntyp = 3
/
ATOMIC_SPECIES
K 39.10 K.upf
Cr 52.00 Cr.upf
In 114.82 In.upf
CELL_PARAMETERS angstrom
3.4221 0.0000 0.0000
0.0000 3.4856 0.0000
0.0000 0.0000 8.7998
ATOMIC_POSITIONS angstrom
K 0.0000 0.0000 0.0000
Cr 1.7110 1.7428 2.8385
Cr 1.7110 1.7428 5.9613
In 0.0000 0.0000 4.3999


# 3
! LiCeGe PBE-GGA optimized geometry; values from VASP
! Space-group type: F-43m (216)
! DFT total energy: -4.564 eV/atom
&SYSTEM
  ibrav = 0, nat = 3, ntyp = 3
/
ATOMIC_SPECIES
Li 6.94 Li.upf
Ce 140.12 Ce.upf
Ge 72.64 Ge.upf
CELL_PARAMETERS angstrom
0.0000 3.3782 3.3782
3.3782 0.0000 3.3782
3.3782 3.3782 0.0000
ATOMIC_POSITIONS angstrom
Li 0.0000 0.0000 0.0000
Ce 3.3782 3.3782 3.3782
Ge 1.6891 1.6891 1.6891


# 4
! Cd2ReOs2 PBE-GGA optimized geometry; values from VASP
! Space-group type: I4/mmm (139)
! Energy above the lowest structure with this stoichiometry: 29 meV/atom
! DFT total energy: -5.986 eV/atom
&SYSTEM
  ibrav = 0, nat = 5, ntyp = 3
/
ATOMIC_SPECIES
Cd 112.41 Cd.upf
Re 186.21 Re.upf
Os 190.23 Os.upf
CELL_PARAMETERS angstrom
-1.7408 1.7408 8.0782
1.7408 -1.7408 8.0782
1.7408 1.7408 -8.0782
ATOMIC_POSITIONS angstrom
Cd 0.0000 0.0000 1.6222
Cd 0.0000 0.0000 14.5342
Re 0.0000 0.0000 8.0782
Os 1.7408 0.0000 4.0391
Os 0.0000 1.7408 4.0391


# 5
! KNa2ErBr6 PBE-GGA optimized geometry; values from VASP
! Formation energy (no corrections): -1.73 eV/atom
! Space-group type: R3 (146)
! DFT total energy: -3.560 eV/atom
&SYSTEM
  ibrav = 0, nat = 10, ntyp = 4
/
ATOMIC_SPECIES
K 39.10 K.upf
Na 22.99 Na.upf
Er 167.26 Er.upf
Br 79.90 Br.upf
CELL_PARAMETERS angstrom
3.7895 2.1879 6.8964
-3.7895 2.1879 6.8964
0.0000 -4.3757 6.8964
ATOMIC_POSITIONS angstrom
K 0.0000 0.0000 0.0000
Na 0.0000 0.0000 6.0161
Na 0.0000 0.0000 16.6323
Er 0.0000 0.0000 10.0170
Br -2.1597 -0.2436 8.2434
Br -1.2528 -2.0170 11.4956
Br 1.2908 -1.7486 8.2434
Br -1.1204 2.0935 11.4956
Br 0.8689 1.9922 8.2434
Br 2.3732 -0.0765 11.4956


# 6
! Cs5AuCl PBE-GGA optimized geometry; values from VASP
! Formation energy (no corrections): -0.59 eV/atom
! Space-group type: C2/c (15)
! DFT total energy: -1.936 eV/atom
&SYSTEM
  ibrav = 0, nat = 14, ntyp = 3
/
ATOMIC_SPECIES
Cs 132.91 Cs.upf
Au 196.97 Au.upf
Cl 35.45 Cl.upf
CELL_PARAMETERS angstrom
8.8118 -4.4469 0.0000
8.8118 4.4469 0.0000
-2.9810 0.0000 13.0155
ATOMIC_POSITIONS angstrom
Cs 4.9106 2.5580 4.6048
Cs 6.5760 3.0431 9.7616
Cs 6.7903 1.6640 0.1584
Cs 11.2224 2.5580 1.9030
Cs 9.3428 1.6640 6.3494
Cs 5.2998 -1.6640 6.6661
Cs 3.4201 -2.5580 11.1125
Cs 7.8523 -1.6640 12.8571
Cs 8.0665 -3.0431 3.2539
Cs 9.7319 -2.5580 8.4107
Au 8.0665 0.5825 3.2539
Au 6.5760 -0.5825 9.7616
Cl 0.0000 0.0000 0.0000
Cl -1.4905 0.0000 6.5078


# 7
! In2ReAu PBE-GGA optimized geometry; values from VASP
! Space-group type: P4/mmm (123)
! Energy above the lowest structure with this stoichiometry: 75 meV/atom
! DFT total energy: -4.877 eV/atom
&SYSTEM
  ibrav = 0, nat = 4, ntyp = 3
/
ATOMIC_SPECIES
In 114.82 In.upf
Re 186.21 Re.upf
Au 196.97 Au.upf
CELL_PARAMETERS angstrom
3.0490 0.0000 0.0000
0.0000 3.0490 0.0000
0.0000 0.0000 8.1531
ATOMIC_POSITIONS angstrom
In 0.0000 0.0000 1.8957
In 0.0000 0.0000 6.2574
Re 1.5245 1.5245 0.0000
Au 1.5245 1.5245 4.0765


# 8
! Pm2NiGe3 PBE-GGA optimized geometry; values from VASP
! Space-group type: Fmmm (69)
! Energy above the lowest structure with this stoichiometry: 0 meV/atom
! DFT total energy: -5.635 eV/atom
&SYSTEM
  ibrav = 0, nat = 12, ntyp = 3
/
ATOMIC_SPECIES
Pm 145.00 Pm.upf
Ni 58.69 Ni.upf
Ge 72.64 Ge.upf
CELL_PARAMETERS angstrom
0.0000 4.2040 7.2243
4.1578 0.0000 7.2243
4.1578 4.2040 0.0000
ATOMIC_POSITIONS angstrom
Pm 4.1578 2.0552 7.2243
Pm 2.0789 2.1020 3.6121
Pm 6.2367 6.3060 10.8364
Pm 4.1578 6.3528 7.2243
Ni 4.1578 4.2040 4.8143
Ni 4.1578 4.2040 9.6343
Ge 4.1578 4.2040 2.5061
Ge 6.1383 4.2040 5.9758
Ge 6.1383 4.2040 8.4727
Ge 2.1773 4.2040 5.9758
Ge 2.1773 4.2040 8.4727
Ge 4.1578 4.2040 11.9425


# 9
! HgRhO2 PBE-GGA optimized geometry; values from VASP
! Formation energy (no corrections): -0.52 eV/atom
! Space-group type: P3m1 (156)
! DFT total energy: -4.913 eV/atom
&SYSTEM
  ibrav = 0, nat = 4, ntyp = 3
/
ATOMIC_SPECIES
Hg 200.59 Hg.upf
Rh 102.91 Rh.upf
O 16.00 O.upf
CELL_PARAMETERS angstrom
3.1050 0.0000 0.0000
-1.5525 2.6890 0.0000
0.0000 0.0000 7.3066
ATOMIC_POSITIONS angstrom
Hg 0.0000 0.0000 0.0000
Rh 1.5525 0.8963 3.6128
O 0.0000 0.0000 2.6427
O 0.0000 1.7927 4.5828


# 10
! AcAlSb3 PBE-GGA optimized geometry; values from VASP
! Formation energy (no corrections): -0.16 eV/atom
! Space-group type: Pm-3m (221)
! DFT total energy: -4.204 eV/atom
&SYSTEM
  ibrav = 0, nat = 5, ntyp = 3
/
ATOMIC_SPECIES
Ac 227.00 Ac.upf
Al 26.98 Al.upf
Sb 121.76 Sb.upf
CELL_PARAMETERS angstrom
5.3545 0.0000 0.0000
0.0000 5.3545 0.0000
0.0000 0.0000 5.3545
ATOMIC_POSITIONS angstrom
Ac 0.0000 0.0000 0.0000
Al 2.6772 2.6772 2.6772
Sb 0.0000 2.6772 2.6772
Sb 2.6772 0.0000 2.6772
Sb 2.6772 2.6772 0.0000


# 11
! Dy4Si2Bi PBE-GGA optimized geometry; values from VASP
! Formation energy (no corrections): -0.56 eV/atom
! Space-group type: I4_1/amd (141)
! DFT total energy: -5.291 eV/atom
&SYSTEM
  ibrav = 0, nat = 14, ntyp = 3
/
ATOMIC_SPECIES
Dy 162.50 Dy.upf
Si 28.09 Si.upf
Bi 208.98 Bi.upf
CELL_PARAMETERS angstrom
-4.6777 4.6777 4.7273
4.6777 -4.6777 4.7273
4.6777 4.6777 -4.7273
ATOMIC_POSITIONS angstrom
Dy 2.9964 2.3389 -0.3443
Dy 6.3590 2.3389 -0.3443
Dy 0.0000 0.6576 2.0194
Dy 4.6777 0.6576 2.7079
Dy 0.0000 4.0202 2.0194
Dy 4.6777 4.0202 2.7079
Dy -1.6813 2.3389 5.0716
Dy 1.6813 2.3389 5.0716
Si 4.6777 0.0000 0.0000
Si -2.3389 2.3389 2.3637
Si 0.0000 0.0000 4.7273
Si 2.3389 2.3389 2.3637
Bi 4.6777 -2.3389 3.5455
Bi 0.0000 7.0166 1.1818


# 12
! Sc6Al5Hg PBE-GGA optimized geometry; values from VASP
! Space-group type: Cmmm (65)
! DFT total energy: -5.179 eV/atom
&SYSTEM
  ibrav = 0, nat = 12, ntyp = 3
/
ATOMIC_SPECIES
Sc 44.96 Sc.upf
Al 26.98 Al.upf
Hg 200.59 Hg.upf
CELL_PARAMETERS angstrom
2.4110 -7.2395 0.0000
2.4110 7.2395 0.0000
0.0000 0.0000 6.8073
ATOMIC_POSITIONS angstrom
Sc 0.0000 0.0000 1.6765
Sc 0.0000 0.0000 5.1308
Sc 2.4110 2.4306 1.6844
Sc 2.4110 2.4306 5.1229
Sc 2.4110 -2.4306 1.6844
Sc 2.4110 -2.4306 5.1229
Al 2.4110 4.8294 0.0000
Al 2.4110 4.8212 3.4036
Al 2.4110 0.0000 0.0000
Al 2.4110 -4.8212 3.4036
Al 2.4110 -4.8294 0.0000
Hg 2.4110 0.0000 3.4036


Size of the total moment, respectively: 0.00, 2.25, 0.34, 0.51, 0.00, 0.00, 0.00, 0.00, 0.00, 0.00, 0.00, 0.00 μB per atom.